Computed, not measured: a relaxed structure of Mo2WBr at the GGA-PBE level of DFT.

Computed properties:
space-group type: Imm2 (44)
crystal system: orthorhombic
offset from the most stable computed form: 0.396 eV/atom
M_tot: 0.00 μB per cell

a b c (Å): 3.0528 4.5620 9.3400
angles (deg): 90.00 90.00 90.00
Fractional positions:
Mo  0.0000  0.0000  0.0000
Mo  0.0000  0.5000  0.2354
Mo  0.5000  0.0000  0.7354
Mo  0.5000  0.5000  0.5000
W  0.0000  0.0000  0.4821
W  0.5000  0.5000  0.9821
Br  0.0000  0.5000  0.7386
Br  0.5000  0.0000  0.2386

=====

Computed, not measured: a relaxed structure of MoWBr2 at the GGA-PBE level of DFT.

Computed properties:
space-group type: Cmmm (65)
crystal system: orthorhombic
offset from the most stable computed form: 1.050 eV/atom
M_tot: 0.97 μB per cell

a b c (Å): 2.9339 5.6946 9.1338
angles (deg): 90.00 90.00 90.00
Fractional positions:
Mo  0.0000  0.0000  0.0000
Mo  0.5000  0.5000  0.0000
W  0.0000  0.0000  0.5000
W  0.5000  0.5000  0.5000
Br  0.0000  0.5000  0.2485
Br  0.0000  0.5000  0.7515
Br  0.5000  0.0000  0.2485
Br  0.5000  0.0000  0.7515

=====

Computed, not measured: a relaxed structure of Mo2WBr at the GGA-PBE level of DFT.

Computed properties:
space-group type: I4/mmm (139)
crystal system: tetragonal
offset from the most stable computed form: 0.761 eV/atom
M_tot: 0.00 μB per cell

a b c (Å): 3.8525 3.8525 8.8743
angles (deg): 90.00 90.00 90.00
Fractional positions:
Mo  0.0000  0.5000  0.2500
Mo  0.0000  0.5000  0.7500
Mo  0.5000  0.0000  0.2500
Mo  0.5000  0.0000  0.7500
W  0.0000  0.0000  0.0000
W  0.5000  0.5000  0.5000
Br  0.0000  0.0000  0.5000
Br  0.5000  0.5000  0.0000

=====

One value per record, in order, for energy relative to the elements, uncorrected: 0.821, 1.205, 1.187 eV per atom.
One value per record, in order, for energy: -8.25, -5.58, -7.89 eV/atom.